Compound: MnZnO2
Source: the Alexandria database
Functional: PBE with a Hubbard U
Structure: relaxed

Computed properties:
- final energy (Ha/atom) = -0.217
- space-group type = Cm, No. 8
- Fermi-level density of states (states/eV per cell) = 0.236
- mass density (g cm⁻³) = 5.455

a b c (Å): 6.023 6.023 6.164
angles (deg): 118.46 118.46 28.45
Element x y z (fractional)
1 Mn 0.000 0.000 0.000
2 Mn 0.248 0.248 0.459
3 Zn 0.490 0.490 0.502
4 Zn 0.748 0.748 0.965
5 O 0.084 0.084 0.749
6 O 0.407 0.407 0.139
7 O 0.677 0.677 0.212
8 O 0.803 0.803 0.690